# 1
# PBE-GGA Dy4TlC2O, relaxed
data_Dy4TlC2O
_chemical_formula_sum 'Dy4 Tl1 C2 O1'
_cell_length_a 3.5374
_cell_length_b 3.5374
_cell_length_c 14.1133
_cell_angle_alpha 90.00
_cell_angle_beta 90.00
_cell_angle_gamma 120.00
_space_group_name_H-M_alt 'P -6 m 2'
_space_group_IT_number 187
_space_group_name_Hall 'P -6 2'
loop_
_atom_site_label
_atom_site_type_symbol
_atom_site_fract_x
_atom_site_fract_y
_atom_site_fract_z
Dy1 Dy 0.0000 0.0000 0.1106
Dy2 Dy 0.3333 0.6667 0.3037
Tl1 Tl 0.0000 0.0000 0.5000
C1 C 0.6667 0.3333 0.2099
O1 O 0.3333 0.6667 0.0000
# Raw total energy: -52.1 eV per cell



# 2
# PBE-GGA Er6TmCu2Te2, relaxed
data_Er6TmCu2Te2
_chemical_formula_sum 'Er12 Tm2 Cu4 Te4'
_cell_length_a 3.932
_cell_length_b 15.347
_cell_length_c 9.505
_cell_angle_alpha 90.00
_cell_angle_beta 90.00
_cell_angle_gamma 90.00
_space_group_name_H-M_alt 'I m m 2'
_space_group_IT_number 44
loop_
_space_group_symop_operation_xyz
'x,y,z'
'-x,-y,z'
'-x,y,z'
'x,-y,z'
'x+1/2,y+1/2,z+1/2'
'-x+1/2,-y+1/2,z+1/2'
'-x+1/2,y+1/2,z+1/2'
'x+1/2,-y+1/2,z+1/2'
loop_
_atom_site_label
_atom_site_type_symbol
_atom_site_fract_x
_atom_site_fract_y
_atom_site_fract_z
Er1 Er 0.000 0.130 0.000
Er2 Er 0.000 0.315 0.795
Er3 Er 0.000 0.357 0.151
Tm1 Tm 0.000 0.000 0.415
Cu1 Cu 0.000 0.237 0.490
Te1 Te 0.000 0.000 0.753
Te2 Te 0.000 0.500 0.651
# Raw total energy: -103.6 eV per cell



# 3
# PBE-GGA Pr2Nd2CBr2Cl3, relaxed
data_Pr2Nd2CBr2Cl3
_chemical_formula_sum 'Pr4 Nd4 C2 Br4 Cl6'
_cell_length_a 17.910
_cell_length_b 3.939
_cell_length_c 8.215
_cell_angle_alpha 90.00
_cell_angle_beta 103.24
_cell_angle_gamma 90.00
_space_group_name_H-M_alt 'C 1 2/m 1'
_space_group_IT_number 12
loop_
_space_group_symop_operation_xyz
'x,y,z'
'-x,-y,-z'
'-x,y,-z'
'x,-y,z'
'x+1/2,y+1/2,z'
'-x+1/2,-y+1/2,-z'
'-x+1/2,y+1/2,-z'
'x+1/2,-y+1/2,z'
loop_
_atom_site_label
_atom_site_type_symbol
_atom_site_fract_x
_atom_site_fract_y
_atom_site_fract_z
Pr1 Pr 0.003 0.000 0.286
Nd1 Nd 0.144 0.500 0.579
C1 C 0.000 0.500 0.500
Br1 Br 0.168 0.000 0.854
Cl1 Cl 0.000 0.500 0.000
Cl2 Cl 0.172 0.000 0.345
# Raw total energy: -106.0 eV per cell
# Energy above the most stable polymorph in this dataset: 0.0020 eV per atom



# 4
# PBE-GGA CsInTc, relaxed
data_CsInTc
_chemical_formula_sum 'Cs4 In4 Tc4'
_cell_length_a 7.726
_cell_length_b 7.726
_cell_length_c 7.726
_cell_angle_alpha 90.00
_cell_angle_beta 90.00
_cell_angle_gamma 90.00
_space_group_name_H-M_alt 'F -4 3 m'
_space_group_IT_number 216
_space_group_name_Hall 'F -4 2 3'
loop_
_atom_site_label
_atom_site_type_symbol
_atom_site_fract_x
_atom_site_fract_y
_atom_site_fract_z
Cs1 Cs 0.000 0.000 0.000
In1 In 0.250 0.250 0.250
Tc1 Tc 0.000 0.000 0.500
# Raw total energy: -37.6 eV per cell
# Energy above the most stable polymorph in this dataset: 0.1089 eV per atom



Magnetization: 0.39; 0.05; 0.06; 2.94 (μB/f.u.)